TaTe2NF6: optimized geometry, PBE.

## Properties
* crystal system: monoclinic
* VASP energy: -5.64 eV per atom

```
data_TaTe2NF6
_chemical_formula_sum 'Ta2 Te4 N2 F12'
_cell_length_a 9.955
_cell_length_b 5.694
_cell_length_c 5.390
_cell_angle_alpha 90.00
_cell_angle_beta 90.68
_cell_angle_gamma 90.00
_symmetry_space_group_name_H-M 'C 1 2/m 1'
_symmetry_Int_Tables_number 12
loop_
_symmetry_equiv_pos_as_xyz
'x,y,z'
'-x,-y,-z'
'-x,y,-z'
'x,-y,z'
'x+1/2,y+1/2,z'
'-x+1/2,-y+1/2,-z'
'-x+1/2,y+1/2,-z'
'x+1/2,-y+1/2,z'
loop_
_atom_site_label
_atom_site_type_symbol
_atom_site_fract_x
_atom_site_fract_y
_atom_site_fract_z
Ta1 Ta 0.000 0.000 0.000
Te1 Te 0.183 0.500 0.425
N1 N 0.000 0.500 0.500
F1 F 0.079 0.000 0.326
F2 F 0.125 0.237 0.904
```